No. 1
This record from the Alexandria database describes a relaxed structure of Ho2Er6Tl. The functional is GGA-PBE.

Structure (extended XYZ):
```
18
Lattice="10.5149 0.0000 0.0000 0.0000 10.5149 0.0000 0.0000 0.0000 4.8501" Properties=species:S:1:pos:R:3 pbc="T T T"
Ho 1.7103 1.7103 0.0000
Ho 3.5472 6.9677 2.4250
Ho 6.9677 3.5472 2.4250
Ho 8.8046 8.8046 0.0000
Er 0.0001 3.5337 2.4250
Er 10.5148 6.9812 2.4250
Er 1.7112 8.8037 0.0000
Er 1.7237 5.2575 0.0000
Er 3.5337 0.0001 2.4250
Er 3.5463 3.5463 2.4250
Er 5.2575 1.7237 0.0000
Er 5.2574 8.7912 0.0000
Er 6.9686 6.9686 2.4250
Er 6.9812 10.5148 2.4250
Er 8.7912 5.2574 0.0000
Er 8.8037 1.7112 0.0000
Tl 0.0000 0.0000 2.4250
Tl 5.2575 5.2575 0.0000
```

Output
Magnetic moment in μB/cell: 0.00

No. 2
This record from the Alexandria database describes a relaxed structure of Ho4Er7Tl. The functional is GGA-PBE.

Structure (extended XYZ):
```
12
Lattice="6.0296 -2.8999 0.0000 6.0296 2.8999 0.0000 -4.8546 0.0000 11.0898" Properties=species:S:1:pos:R:3 pbc="T T T"
Ho 0.2087 0.0000 2.9728
Ho 0.0420 0.0000 9.7865
Ho 7.1627 0.0000 1.3033
Ho 6.9959 0.0000 8.1170
Er -2.4273 0.0000 5.5449
Er -3.1373 0.0000 10.7940
Er 0.7719 0.0000 6.4498
Er 3.7517 0.0000 2.4345
Er 3.4529 0.0000 8.6554
Er 6.4328 0.0000 4.6400
Er 10.3419 0.0000 0.2958
Tl 3.6023 0.0000 5.5449
```

Output
Magnetic moment in μB/cell: 0.00

No. 3
This record from the Alexandria database describes a relaxed structure of HoEr7Tl5. The functional is GGA-PBE.

Structure (extended XYZ):
```
13
Lattice="-3.2299 5.4136 5.3706 3.2299 -5.4136 5.3706 3.2299 5.4136 -5.3706" Properties=species:S:1:pos:R:3 pbc="T T T"
Ho 0.0000 0.0000 0.0000
Er 3.2299 2.0776 -0.4362
Er 3.2299 0.0000 2.1581
Er 3.2299 -1.7194 5.1040
Er 0.0000 0.0000 3.6482
Er 3.2299 1.7194 5.1040
Er 0.0000 0.0000 7.0565
Er 0.0000 3.3360 4.9344
Tl 1.6099 2.5715 2.3147
Tl 4.8498 2.5715 2.3147
Tl 0.0000 5.4136 2.5177
Tl -1.6200 2.8421 7.6853
Tl 1.6200 2.8421 7.6853
```

Output
Magnetic moment in μB/cell: 0.01

No. 4
This record from the Alexandria database describes a relaxed structure of Ho4Er4Tl. The functional is GGA-PBE.

Structure (extended XYZ):
```
9
Lattice="-5.2640 5.2640 2.4263 5.2640 -5.2640 2.4263 5.2640 5.2640 -2.4263" Properties=species:S:1:pos:R:3 pbc="T T T"
Ho 1.7125 1.7125 0.0000
Ho 3.5515 -3.5515 2.4263
Ho -3.5515 3.5515 2.4263
Ho 3.5515 3.5515 2.4263
Er 5.2640 1.7249 0.0000
Er 1.7249 5.2640 0.0000
Er 3.5390 0.0000 2.4263
Er 0.0000 3.5390 2.4263
Tl 0.0000 0.0000 2.4263
```

Output
Magnetic moment in μB/cell: 0.00

It is found that the total energy values, taken in the order of the records, are -78.475; -50.081; -49.906; -39.267 eV/cell.
It is found that the DFT formation energy values, taken in the order of the records, are -0.04; 0.21; -0.12; -0.04 eV/atom.